# 1
VASP calculation (GGA-PBE) on a relaxed NiRhSe crystal.

Output
- raw formation energy (eV/f.u.) = 0.080
- energy relative to the lowest polymorph listed for this composition (kJ/mol of formula units) = 0
- N(E_F) (states/eV per atom) = 0.871
- VASP energy (eV/cell) = -16.54

Cell: 3.8548 3.8548 3.4396 Å, 90.00 90.00 120.00°
Space group P3m1 (No. 156)
One atom of each set of equivalent atoms:
Ni (0.0000, 0.0000, 0.0000) [1 per cell]
Rh (0.3333, 0.6667, 0.4638) [1 per cell]
Se (0.6667, 0.3333, 0.7975) [1 per cell]


# 2
VASP calculation (GGA-PBE) on a relaxed SrZrHg6 crystal.

Output
- energy of formation from the pure elements (eV/atom) = 0.09
- N(E_F) (states/eV per atom) = 0.869
- VASP energy (eV/cell) = -33.87

Cell: 5.8951 5.8951 25.7546 Å, 90.00 90.00 120.00°
Space group R-3m (No. 166, hexagonal axes)
One atom of each set of equivalent atoms:
Sr (0.0000, 0.0000, 0.0000) [3 per cell]
Zr (0.0000, 0.0000, 0.5000) [3 per cell]
Hg (0.0030, 0.5015, 0.4423) [18 per cell]


# 3
VASP calculation (GGA-PBE) on a relaxed Nd6Sm5Y2 crystal.

Output
- energy of formation from the pure elements (eV/atom) = 0.09
- N(E_F) (states/eV per atom) = 1.186
- VASP energy (eV/cell) = -127.88

Cell: 11.853 20.875 3.654 Å, 90.00 90.00 90.00°
Space group Pbam (No. 55)
One atom of each set of equivalent atoms:
Nd (0.060, 0.080, 0.000) [4 per cell]
Nd (0.081, 0.367, 0.000) [4 per cell]
Nd (0.175, 0.636, 0.500) [4 per cell]
Sm (0.000, 0.500, 0.500) [2 per cell]
Sm (0.090, 0.226, 0.500) [4 per cell]
Sm (0.199, 0.945, 0.500) [4 per cell]
Y (0.168, 0.789, 0.000) [4 per cell]